Record 1
AlCuAg2Te4 (GGA-PBE, optimized geometry); D(E_F) = 0.6652 states/eV per atom; formation energy from raw total energies = -1.30 eV per formula unit; raw total energy = -3.43 eV per atom
1.0
-4.4087 4.2145 1.4327
-3.9928 -2.8571 -3.8857
2.2853 -4.2465 5.8197
Al Cu Te Ag
1 1 4 2
direct
0.9859 0.4858 0.9718
0.7355 0.7355 0.4712
0.0862 0.1025 0.7165
0.8580 0.3854 0.2270
0.6305 0.6141 0.7165
0.3690 0.8418 0.2272
0.2360 0.2362 0.4722
0.4860 0.9858 0.9718

Record 2
BeZn2Si (GGA-PBE, optimized geometry); D(E_F) = 0.1857 states/eV per atom; formation energy from raw total energies = 1.12 eV per formula unit; raw total energy = -2.64 eV per atom
1.0
2.5892 0.0082 0.0000
-0.0083 2.5892 0.0000
0.0000 0.0000 8.0783
Be Zn Si
1 2 1
direct
0.5000 0.5000 0.2500
0.0000 0.0000 0.4574
0.0000 0.0000 0.0426
0.5000 0.5000 0.7500

Record 3
Zr2ScPt2 (GGA-PBE, optimized geometry); E_form = -915.4 meV/atom; excess energy over the best structure of this formula in the dataset = 0.000 eV per formula unit; D(E_F) = 0.7688 states/eV per atom; raw total energy = -8.02 eV per atom
1.0
-2.2385 -7.0278 -1.9045
-0.0858 -1.9669 7.3588
-3.3146 0.9942 0.2271
Zr Pt Sc
4 4 2
direct
0.8319 0.3319 0.5000
0.6681 0.8319 0.5000
0.1681 0.6681 0.5000
0.3319 0.1681 0.5000
0.1323 0.3677 0.0000
0.8677 0.6323 0.0000
0.6323 0.1323 0.0000
0.3677 0.8677 0.0000
0.0000 0.0000 0.0000
0.5000 0.5000 0.0000

Record 4
Nd2Sm2Ir3 (GGA-PBE, optimized geometry); E_form = -524.9 meV/atom; excess energy over the best structure of this formula in the dataset = 0.821 eV per formula unit; D(E_F) = 0.5812 states/eV per atom; raw total energy = -7.03 eV per atom
1.0
-0.4013 -4.0012 -1.3303
5.8567 2.5161 -2.5957
2.3460 -2.4051 6.5413
Ir Sm Nd
3 2 2
direct
0.7746 0.5481 0.2603
0.0000 0.0000 0.0000
0.2254 0.4519 0.7397
0.6293 0.2589 0.9104
0.3707 0.7411 0.0896
0.1424 0.2837 0.3513
0.8576 0.7163 0.6487

Record 5
PmVGa4 (GGA-PBE, optimized geometry); E_form = -166.6 meV/atom; D(E_F) = 0.2852 states/eV per atom; raw total energy = -4.50 eV per atom
1.0
-1.4771 -5.0944 -0.5555
1.8561 -2.8845 -4.0838
3.5210 -3.9082 0.8783
Ga V Pm
4 1 1
direct
0.6243 0.6243 0.1272
0.1272 0.6243 0.6243
0.6243 0.1272 0.6243
0.6243 0.6243 0.6243
0.2500 0.2500 0.2500
0.0000 0.0000 0.0000

Record 6
Na2InPb8 (GGA-PBE, optimized geometry); E_form = -55.4 meV/atom; excess energy over the best structure of this formula in the dataset = 0.000 eV per formula unit; D(E_F) = 0.3886 states/eV per atom; raw total energy = -3.24 eV per atom
1.0
-0.2577 -4.8592 -0.6761
4.1876 -0.5706 2.5048
-7.3318 -1.2762 11.9670
Pb Na In
8 2 1
direct
0.5000 0.0000 0.8529
0.0000 0.5000 0.1471
0.5000 0.5000 0.6792
0.0000 0.5000 0.8529
0.0000 0.5000 0.5000
0.5000 0.0000 0.5000
0.5000 0.5000 0.3208
0.5000 0.0000 0.1471
0.0000 0.0000 0.3257
0.0000 0.0000 0.6743
0.0000 0.0000 0.0000